# 1
Below is a relaxed structure of RbSnB, with properties calculated at the PBE-GGA level.

## Properties
- Energy: -39.68 eV per cell

Cell lengths 11.5345, 4.0498, 8.2930 Å; angles 90.00, 90.00, 90.00 degrees
Closest atoms and distances in Å follow each position.
Space group Pnma (No. 62)
Symmetry-distinct sites (fractional):
Rb (0.2131, 0.2500, 0.0414)  3 B 3.24-3.39
Sn (0.0074, 0.2500, 0.6638)  3 B 2.29-2.46
B (0.0795, 0.2500, 0.3843)  3 Sn 2.29-2.46

# 2
Below is a relaxed structure of CdReBr4, with properties calculated at the PBE-GGA level.

## Properties
- E_form (uncorrected): 1.33 eV per atom

Cell lengths 8.9905, 8.9905, 8.9905 Å; angles 90.00, 90.00, 90.00 degrees
Closest atoms and distances in Å follow each position.
Space group F-43m (No. 216)
Symmetry-distinct sites (fractional):
Cd (0.0000, 0.0000, 0.0000)  12 Br 3.73, 4 Re 3.89
Re (0.2500, 0.2500, 0.7500)  12 Br 3.73, 4 Cd 3.89
Br (0.1249, 0.1249, 0.3751)  6 Br 3.18

# 3
Below is a relaxed structure of RbBH4, with properties calculated at the PBE-GGA level.

## Properties
- Energy: -23.49 eV per cell

Cell lengths 4.8354, 4.8562, 4.9659 Å; angles 94.60, 115.15, 118.69 degrees
Closest atoms and distances in Å follow each position.
Space group P1 (No. 1)
Symmetry-distinct sites (fractional):
Rb (0.0000, 0.0000, 0.0000)  10 H 2.76-3.08
B (0.1426, 0.6392, 0.4962)  4 H 1.23
H (0.1892, 0.5152, 0.7040)  1 B 1.23
H (0.2613, 0.9338, 0.6175)  1 B 1.23
H (0.3226, 0.6465, 0.3771)  1 B 1.23
H (0.8114, 0.4751, 0.2855)  1 B 1.23

# 4
Below is a relaxed structure of Ta2GaPAu, with properties calculated at the PBE-GGA level.

## Properties
- Energy: -27.18 eV per cell

Cell lengths 5.1063, 5.1063, 4.4956 Å; angles 90.00, 90.00, 90.00 degrees
Closest atoms and distances in Å follow each position.
Space group P4/mmm (No. 123)
Symmetry-distinct sites (fractional):
Ta (0.0000, 0.5000, 0.0000)  2 Au 2.55
Ga (0.0000, 0.0000, 0.5000)  8 Ta 3.40, 4 P 3.61
P (0.5000, 0.5000, 0.5000)  2 Au 2.25
Au (0.5000, 0.5000, 0.0000)  2 P 2.25

# 5
Below is a relaxed structure of La3InCo, with properties calculated at the PBE-GGA level.

## Properties
- Energy: -52.01 eV per cell

Cell lengths 6.1331, 7.0393, 7.3987 Å; angles 83.33, 88.35, 65.41 degrees
Closest atoms and distances in Å follow each position.
Space group P1 (No. 1)
Symmetry-distinct sites (fractional):
La (0.0000, 0.0000, 0.0000)  2 Co 2.58-2.89
La (0.0220, 0.5308, 0.3111)  1 Co 2.36
La (0.4030, 0.1631, 0.7650)  1 Co 2.83
La (0.4838, 0.6477, 0.5593)  1 Co 2.66
La (0.5507, 0.5171, 0.0568)  2 Co 2.81-3.06
La (0.9145, 0.0855, 0.4749)  1 Co 2.76
In (0.4632, 0.0515, 0.2431)  1 Co 2.70
In (0.9601, 0.6496, 0.7595)  2 Co 2.64-2.77
Co (0.0967, 0.3601, 0.0446)  1 La 2.36, 1 In 2.64
Co (0.8161, 0.3256, 0.7620)  4 La 2.58-2.81, 1 In 2.77, 1 Co 2.84

# 6
Below is a relaxed structure of FeNi6H3, with properties calculated at the PBE-GGA level.

## Properties
- Energy: -106.37 eV per cell

Cell lengths 8.2732, 2.5340, 8.2804 Å; angles 90.00, 104.51, 90.00 degrees
Closest atoms and distances in Å follow each position.
Space group P2_1/m (No. 11)
Symmetry-distinct sites (fractional):
Fe (0.0958, 0.2500, 0.4073)  6 Ni 2.31-2.51, 2 Fe 2.53
Ni (0.0367, 0.7500, 0.1414)  3 H 1.81-1.96
Ni (0.1716, 0.2500, 0.6953)  2 H 1.82
Ni (0.2472, 0.7500, 0.9697)  3 H 1.76-1.87
Ni (0.3156, 0.2500, 0.2583)  3 H 1.78-1.87
Ni (0.3741, 0.7500, 0.5465)  4 H 1.90-2.05
Ni (0.4677, 0.2500, 0.8581)  2 H 1.73
H (0.1498, 0.2500, 0.0580)  6 Ni 1.76-1.96
H (0.3275, 0.7500, 0.7783)  5 Ni 1.73-1.87
H (0.4609, 0.7500, 0.3517)  6 Ni 1.78-1.97

# 7
Below is a relaxed structure of RbAcSbO5, with properties calculated at the PBE-GGA level.

## Properties
- E_form (uncorrected): -1.87 eV per atom

Cell lengths 8.0018, 10.7760, 8.6658 Å; angles 90.00, 112.68, 90.00 degrees
Closest atoms and distances in Å follow each position.
Space group C2/c (No. 15)
Symmetry-distinct sites (fractional):
Rb (0.0000, 0.1697, 0.2500)  5 O 2.92-3.04
Ac (0.0000, 0.5000, 0.0000)  6 O 2.26-2.53
Sb (0.0000, 0.1825, 0.7500)  4 O 1.91
O (0.0000, 0.4406, 0.2500)  2 Ac 2.26
O (0.0941, 0.2864, 0.6233)  1 Sb 1.91
O (0.1813, 0.0752, 0.8971)  1 Sb 1.91

# 8
Below is a relaxed structure of KBeHg2Ge, with properties calculated at the PBE-GGA level.

## Properties
- Energy: -7.73 eV per cell

Cell lengths 4.7597, 4.7597, 5.6927 Å; angles 90.00, 90.00, 90.00 degrees
Closest atoms and distances in Å follow each position.
Space group P4/mmm (No. 123)
Symmetry-distinct sites (fractional):
K (0.0000, 0.0000, 0.0000)  2 Be 2.85
Be (0.0000, 0.0000, 0.5000)  4 Hg 2.38
Hg (0.0000, 0.5000, 0.5000)  2 Be 2.38
Ge (0.5000, 0.5000, 0.0000)  4 K 3.37, 8 Hg 3.71

Taking the records one at a time from the top gives V values of 32.3, 30.3, 14.4, 23.4, 28.8, 8.4, 21.5, 25.8 A^3/atom.